Computed, not measured: crystalline YAgSn at its relaxed geometry at the GGA-PBE level of DFT.

```
6
Lattice="4.7341 0.0049 0.0012 2.3566 7.8927 -0.0033 -2.3658 -0.7103 4.0383" Properties=species:S:1:pos:R:3 pbc="T T T"
Sn 2.3065 0.6985 2.2116
Sn 2.3001 4.4990 2.8789
Y -0.0626 2.3439 3.8874
Y 2.2972 6.7884 0.5045
Ag -0.0600 -0.5270 3.3844
Ag 4.6676 4.5091 1.4928
```

Computed, not measured: crystalline CuTc2W at its relaxed geometry at the GGA-PBE level of DFT.

```
4
Lattice="-0.7645 -4.9131 -7.6263 0.7213 -6.6856 -6.1373 -2.0180 -6.6409 -5.8915" Properties=species:S:1:pos:R:3 pbc="T T T"
Tc -0.0033 -0.0293 -0.0316
Tc -1.0273 -9.0905 -9.7960
Cu -1.5459 -13.6797 -14.7414
W -0.5153 -4.5599 -4.9138
```

Output
E above lowest polymorph	0.115	eV per atom

Number 1: energy of formation from the pure elements -47.4 kJ/mol of atoms, energy -4.930 eV per atom. Number 2: energy of formation from the pure elements 26.3 kJ/mol of atoms, energy -9.173 eV per atom.